A plane-wave DFT calculation with PBE-GGA was carried out for Cd2Si after structural relaxation.

Unit cell a=5.7058 b=5.7058 c=5.7058 alpha=150.35 beta=137.08 gamma=53.03
With the nearest neighbours (Å) after each atom.
Fractional coordinates of all 3 atoms:
Cd (0.3399, 0.3399, 0.0000)  6 Cd 2.92-3.14, 4 Si 3.03
Cd (0.6601, 0.6601, 0.0000)  6 Cd 2.92-3.14, 4 Si 3.03
Si (0.0000, 0.0000, 0.0000)  2 Si 2.92, 8 Cd 3.03

Results
Mass density   6.7 g/cm³
Space group   Immm, No. 71
Final energy   -2.091 eV/atom
ΔE_f (raw)   0.33 eV per atom
N(E_F)   0.289 states/eV per atom